# K2SbWO

Crystalline K2SbWO at its relaxed geometry (PBE+U, Alexandria).

Output
The total energy is -3.535 eV/atom.

Structure (CIF):
```
data_K2SbWO
_chemical_formula_sum 'K2 Sb1 W1 O1'
_cell_length_a 5.2561
_cell_length_b 5.2561
_cell_length_c 4.6786
_cell_angle_alpha 90.00
_cell_angle_beta 90.00
_cell_angle_gamma 90.00
_symmetry_space_group_name_H-M 'P 4/m m m'
_symmetry_Int_Tables_number 123
_symmetry_space_group_name_Hall '-P 4 2'
loop_
_atom_site_label
_atom_site_fract_x
_atom_site_fract_y
_atom_site_fract_z
_atom_site_occupancy
K1 0.0000 0.5000 0.0000 1
Sb1 0.0000 0.0000 0.5000 1
W1 0.5000 0.5000 0.5000 1
O1 0.0000 0.0000 0.0000 1
```